# Pm2MgCu (PBE-GGA, optimized geometry)
data_Pm2MgCu
_chemical_formula_sum 'Pm2 Mg1 Cu1'
_cell_length_a 3.677
_cell_length_b 3.677
_cell_length_c 7.576
_cell_angle_alpha 90.00
_cell_angle_beta 90.00
_cell_angle_gamma 90.00
_symmetry_space_group_name_H-M 'P 4/m m m'
_symmetry_Int_Tables_number 123
_symmetry_space_group_name_Hall '-P 4 2'
loop_
_atom_site_label
_atom_site_fract_x
_atom_site_fract_y
_atom_site_fract_z
Pm1 0.000 0.000 0.224
Mg1 0.500 0.500 0.500
Cu1 0.500 0.500 0.000
# * N(E_F): 4.627 states/eV per cell
# * polymorph energy (0 for the lowest one): 0 meV per atom
# * energy: -0.1438 hartree per atom
# * theoretical density: 6.13 Mg/m³
# * ΔE_f: -0.115 eV per atom